## NdEr3Tm7 (PBE)

Data for NdEr3Tm7 after structural relaxation.

```
NdEr3Tm7
1.0
6.8560 0.0000 0.0000
0.0000 5.4590 0.0000
-3.1996 0.0000 9.2597
Nd Er Tm
1 3 7
Cartesian
0.0000 0.0000 0.0000
0.3081 2.7295 4.5673
3.4280 0.0000 0.0000
3.3483 2.7295 4.6924
-1.5998 0.0000 4.6298
-1.4866 2.7295 7.3147
1.7616 2.7295 1.3215
1.8931 0.0000 3.0780
1.7633 0.0000 6.1816
1.8948 2.7295 7.9382
5.1430 2.7295 1.9450
```

Computed properties:
**Energy relative to the lowest polymorph listed for this composition**: 0.0 meV per atom
**Energy of formation**: 159 meV/atom
**Mass density**: 8.761 g/cm³
**Calculated total energy**: -4.36 eV/atom
**Total moment**: 0.00 μB per formula unit

=====

## Nd12Er7Tm (PBE)

Data for Nd12Er7Tm after structural relaxation.

```
Nd12Er7Tm
1.0
6.1184 3.5325 5.2460
-6.1184 3.5325 5.2460
0.0000 -7.0649 5.2460
Nd Er Tm
12 7 1
Cartesian
-5.3692 0.6392 6.6168
-3.2381 -4.3303 9.1211
-0.7646 -3.3017 7.0061
-3.2416 -0.9887 8.7318
-2.4770 2.3130 7.0061
2.1311 -4.9695 6.6168
-2.1311 4.9695 9.1211
2.4770 -2.3130 8.7318
3.2416 0.9887 7.0061
0.7646 3.3017 8.7318
3.2381 4.3303 6.6168
5.3692 -0.6392 9.1211
0.0000 0.0000 0.0000
-1.9539 -0.5711 4.7195
1.4716 -1.4066 4.7196
0.4824 1.9777 4.7196
-0.4824 -1.9777 11.0183
-1.4716 1.4066 11.0183
1.9539 0.5711 11.0183
0.0000 0.0000 7.8689
```

Computed properties:
**Energy of formation**: 230 meV/atom
**Mass density**: 7.495 g/cm³
**Calculated total energy**: -4.45 eV/atom
**Total moment**: 0.00 μB per formula unit

=====

## NdEr2Tm9 (PBE)

Data for NdEr2Tm9 after structural relaxation.

```
NdEr2Tm9
1.0
4.9603 0.0000 0.0000
0.0000 4.9603 0.0000
0.0000 0.0000 14.8760
Nd Er Tm
1 2 9
Cartesian
0.0000 0.0000 0.0000
0.0000 0.0000 4.9728
0.0000 0.0000 9.9033
0.0000 2.4801 2.5173
0.0000 2.4801 7.4380
0.0000 2.4801 12.3587
2.4801 0.0000 2.5173
2.4801 0.0000 7.4380
2.4801 0.0000 12.3587
2.4801 2.4801 0.0000
2.4801 2.4801 4.9852
2.4801 2.4801 9.8908
```

Computed properties:
**Energy relative to the lowest polymorph listed for this composition**: 0.0 meV per atom
**Energy of formation**: 28 meV/atom
**Mass density**: 9.070 g/cm³
**Calculated total energy**: -4.48 eV/atom
**Total moment**: 0.00 μB per formula unit